DFT (PBE-GGA) results for a relaxed structure of BaLiBi2Pd.

Output
Total magnetic moment in μB/atom: 0.000
Final energy in eV/f.u.: -20.018
DOS at the Fermi energy in states/eV/f.u.: 1.59
Distance to the lowest polymorph of the same formula in eV per atom: 0.000
Density in kg/m3: 7892
V in Å³ per atom: 28.14
Energy relative to the elements in meV/atom: -645

Lattice parameters (Å, degrees): 4.853 4.853 11.946 90.00 90.00 90.00
Space group I-4m2 (No. 119)
One atom of each set of equivalent atoms:
1 Ba 0.000 0.000 0.000 x2
2 Li 0.000 0.500 0.750 x2
3 Bi 0.000 0.000 0.368 x4
4 Pd 0.000 0.500 0.250 x2

---

DFT (PBE-GGA) results for a relaxed structure of Ba2Li3Bi4Pd.

Output
Total magnetic moment in μB/atom: 0.000
Final energy in eV/f.u.: -36.797
DOS at the Fermi energy in states/eV/f.u.: 5.22
Density in kg/m3: 7302
V in Å³ per atom: 28.15
Energy relative to the elements in meV/atom: -649

Lattice parameters (Å, degrees): 4.987 4.987 11.320 90.00 90.00 90.00
Space group P-4m2 (No. 115)
One atom of each set of equivalent atoms:
1 Ba 0.000 0.500 0.237 x2
2 Li 0.000 0.000 0.000 x1
3 Li 0.000 0.500 0.633 x2
4 Bi 0.000 0.000 0.500 x1
5 Bi 0.000 0.500 0.882 x2
6 Bi 0.500 0.500 0.500 x1
7 Pd 0.500 0.500 0.000 x1

---

DFT (PBE-GGA) results for a relaxed structure of Ba2LiBiPd6.

Output
Total magnetic moment in μB/atom: 0.000
Final energy in eV/f.u.: -44.710
DOS at the Fermi energy in states/eV/f.u.: 1.97
Density in kg/m3: 7924
V in Å³ per atom: 23.66
Energy relative to the elements in meV/atom: -391

Lattice parameters (Å, degrees): 11.934 6.906 6.966 90.00 124.48 90.00
Space group C2/m (No. 12)
One atom of each set of equivalent atoms:
1 Ba 0.212 0.000 0.137 x4
2 Li 0.000 0.000 0.500 x2
3 Bi 0.000 0.500 0.000 x2
4 Pd 0.057 0.293 0.375 x8
5 Pd 0.237 0.000 0.627 x4

---

DFT (PBE-GGA) results for a relaxed structure of Ba2LiBi4Pd3.

Output
Total magnetic moment in μB/atom: 0.000
Final energy in eV/f.u.: -43.379
DOS at the Fermi energy in states/eV/f.u.: 4.46
Density in kg/m3: 8691
V in Å³ per atom: 27.45
Energy relative to the elements in meV/atom: -652

Lattice parameters (Å, degrees): 4.933 4.933 11.279 90.00 90.00 90.00
Space group P-4m2 (No. 115)
One atom of each set of equivalent atoms:
1 Ba 0.000 0.500 0.241 x2
2 Li 0.500 0.500 0.000 x1
3 Bi 0.000 0.000 0.500 x1
4 Bi 0.000 0.500 0.873 x2
5 Bi 0.500 0.500 0.500 x1
6 Pd 0.000 0.000 0.000 x1
7 Pd 0.000 0.500 0.625 x2